No. 1
Here is crystalline K3YTc at its relaxed geometry from Alexandria via LeMat-Bulk. Energies are from PBE-GGA.

Formation energy from the elements ... 1.887 eV per atom
Offset from the most stable computed form ... 192.9 meV per atom
Total magnetic moment ... 1.00 μB per formula unit

Structure (POSCAR):
```
K3YTc
1.0
6.817 0.000 0.000
0.000 6.817 0.000
0.000 0.000 6.817
K Y Tc
3 1 1
Direct
0.000 0.000 0.500 K
0.000 0.500 0.000 K
0.500 0.000 0.000 K
0.000 0.000 0.000 Y
0.500 0.500 0.500 Tc
```


No. 2
Here is crystalline Li2NpInSe4 at its relaxed geometry from Alexandria via LeMat-Bulk. Energies are from PBE-GGA.

Uncorrected formation energy ... -7.80 eV/f.u.
Total magnetic moment ... 3.32 μB per formula unit

Structure (POSCAR):
```
Li2NpInSe4
1.0
5.668 0.000 0.000
0.000 5.668 0.000
0.000 0.000 11.689
Li Np In Se
4 2 2 8
Direct
0.000 0.000 0.000 Li
0.000 0.500 0.250 Li
0.500 0.000 0.750 Li
0.500 0.500 0.500 Li
0.000 0.500 0.750 Np
0.500 0.000 0.250 Np
0.000 0.000 0.500 In
0.500 0.500 0.000 In
0.000 0.000 0.245 Se
0.000 0.000 0.755 Se
0.000 0.500 0.505 Se
0.000 0.500 0.995 Se
0.500 0.000 0.005 Se
0.500 0.000 0.495 Se
0.500 0.500 0.255 Se
0.500 0.500 0.745 Se
```


No. 3
Here is crystalline Y3Al6Ni2 at its relaxed geometry from Alexandria via LeMat-Bulk. Energies are from PBE-GGA.

Formation energy from the elements ... -0.527 eV per atom
Total magnetic moment ... 0.00 μB per formula unit

Structure (POSCAR):
```
Y3Al6Ni2
1.0
-4.666 4.666 4.666
4.666 -4.666 4.666
4.666 4.666 -4.666
Y Al Ni
6 12 4
Direct
0.000 0.270 0.270 Y
0.000 0.730 0.730 Y
0.270 0.000 0.270 Y
0.270 0.270 0.000 Y
0.730 0.000 0.730 Y
0.730 0.730 0.000 Y
0.000 0.329 0.671 Al
0.000 0.671 0.329 Al
0.329 0.000 0.671 Al
0.329 0.329 0.659 Al
0.329 0.659 0.329 Al
0.329 0.671 0.000 Al
0.341 0.671 0.671 Al
0.659 0.329 0.329 Al
0.671 0.000 0.329 Al
0.671 0.329 0.000 Al
0.671 0.341 0.671 Al
0.671 0.671 0.341 Al
0.000 0.000 0.500 Ni
0.000 0.500 0.000 Ni
0.500 0.000 0.000 Ni
0.500 0.500 0.500 Ni
```


No. 4
Here is crystalline Na2Hg3Cl8 at its relaxed geometry from Alexandria via LeMat-Bulk. Energies are from PBE-GGA.

Uncorrected formation energy ... -12.18 eV/f.u.
Total magnetic moment ... 0.00 μB per formula unit

Structure (POSCAR):
```
Na2Hg3Cl8
1.0
6.706 -3.911 0.000
6.706 3.911 0.000
-1.031 0.000 7.020
Na Hg Cl
2 3 8
Direct
0.216 0.216 0.088 Na
0.784 0.784 0.912 Na
0.248 0.752 0.500 Hg
0.500 0.500 0.000 Hg
0.752 0.248 0.500 Hg
0.116 0.116 0.403 Cl
0.149 0.614 0.131 Cl
0.386 0.851 0.869 Cl
0.391 0.391 0.627 Cl
0.609 0.609 0.373 Cl
0.614 0.149 0.131 Cl
0.851 0.386 0.869 Cl
0.884 0.884 0.597 Cl
```


No. 5
Here is crystalline GaCl3F4 at its relaxed geometry from Alexandria via LeMat-Bulk. Energies are from PBE-GGA.

Uncorrected formation energy ... -10.74 eV/f.u.
Total magnetic moment ... 1.02 μB per formula unit

Structure (POSCAR):
```
GaCl3F4
1.0
3.913 0.000 0.000
-0.076 8.149 0.000
-0.589 -3.490 9.010
Ga Cl F
2 6 8
Direct
0.027 0.072 0.177 Ga
0.973 0.928 0.823 Ga
0.296 0.249 0.630 Cl
0.354 0.598 0.999 Cl
0.412 0.549 0.363 Cl
0.588 0.451 0.637 Cl
0.646 0.402 0.001 Cl
0.704 0.751 0.370 Cl
0.005 0.151 0.003 F
0.047 0.301 0.315 F
0.051 0.953 0.308 F
0.474 0.931 0.833 F
0.526 0.069 0.167 F
0.949 0.047 0.692 F
0.953 0.699 0.685 F
0.995 0.849 0.997 F
```


No. 6
Here is crystalline ZrFe3Tc at its relaxed geometry from Alexandria via LeMat-Bulk. Energies are from PBE-GGA.

Formation energy from the elements ... 1.808 eV per atom
Offset from the most stable computed form ... 850.3 meV per atom
Total magnetic moment ... 8.72 μB per formula unit

Structure (POSCAR):
```
ZrFe3Tc
1.0
4.503 0.000 0.000
0.000 4.503 0.000
0.000 0.000 4.503
Zr Fe Tc
1 3 1
Direct
0.000 0.000 0.000 Zr
0.000 0.000 0.500 Fe
0.000 0.500 0.000 Fe
0.500 0.000 0.000 Fe
0.500 0.500 0.500 Tc
```


No. 7
Here is crystalline UCoIrRu at its relaxed geometry from Alexandria via LeMat-Bulk. Energies are from PBE-GGA.

Formation energy from the elements ... -0.432 eV per atom
Total magnetic moment ... 0.00 μB per formula unit

Structure (POSCAR):
```
UCoIrRu
1.0
3.905 0.000 0.000
0.000 3.906 0.000
0.000 0.000 4.033
U Co Ir Ru
1 1 1 1
Direct
0.000 0.000 0.000 U
0.000 0.500 0.500 Co
0.500 0.000 0.500 Ir
0.500 0.500 0.000 Ru
```


No. 8
Here is crystalline Nd2Ni3AgSn4 at its relaxed geometry from Alexandria via LeMat-Bulk. Energies are from PBE-GGA.

Formation energy from the elements ... -0.488 eV per atom
Total magnetic moment ... 0.00 μB per formula unit

Structure (POSCAR):
```
Nd2Ni3AgSn4
1.0
4.492 0.000 0.000
0.000 4.492 0.000
0.000 0.000 10.471
Nd Ni Ag Sn
2 3 1 4
Direct
0.000 0.500 0.250 Nd
0.500 0.000 0.750 Nd
0.000 0.000 0.000 Ni
0.000 0.500 0.619 Ni
0.500 0.000 0.381 Ni
0.500 0.500 0.000 Ag
0.000 0.000 0.500 Sn
0.000 0.500 0.858 Sn
0.500 0.000 0.142 Sn
0.500 0.500 0.500 Sn
```


No. 9
Here is crystalline Ge2OsCO at its relaxed geometry from Alexandria via LeMat-Bulk. Energies are from PBE-GGA.

Uncorrected formation energy ... 5.19 eV/f.u.
Total magnetic moment ... 0.00 μB per formula unit

Structure (POSCAR):
```
Ge2OsCO
1.0
4.646 0.000 0.000
0.000 4.646 0.000
0.000 0.000 2.940
Ge Os C O
2 1 1 1
Direct
0.000 0.500 0.000 Ge
0.500 0.000 0.000 Ge
0.000 0.000 0.500 Os
0.500 0.500 0.000 C
0.500 0.500 0.500 O
```


No. 10
Here is crystalline TiTlAs2Se at its relaxed geometry from Alexandria via LeMat-Bulk. Energies are from PBE-GGA.

Uncorrected formation energy ... -0.91 eV/f.u.
Offset from the most stable computed form ... 0.0 meV per atom
Total magnetic moment ... 0.00 μB per formula unit

Structure (POSCAR):
```
TiTlAs2Se
1.0
4.986 0.000 0.000
0.000 4.986 0.000
0.000 0.000 5.033
Ti Tl As Se
1 1 2 1
Direct
0.000 0.000 0.000 Ti
0.500 0.500 0.500 Tl
0.000 0.500 0.000 As
0.500 0.000 0.000 As
0.000 0.000 0.500 Se
```


No. 11
Here is crystalline Ac8PrTl2 at its relaxed geometry from Alexandria via LeMat-Bulk. Energies are from PBE-GGA.

Formation energy from the elements ... -0.027 eV per atom
Total magnetic moment ... 0.00 μB per formula unit

Structure (POSCAR):
```
Ac8PrTl2
1.0
8.852 -3.768 0.000
8.852 3.768 0.000
-0.709 0.000 6.892
Ac Pr Tl
8 1 2
Direct
0.087 0.087 0.389 Ac
0.147 0.654 0.108 Ac
0.295 0.295 0.647 Ac
0.346 0.853 0.892 Ac
0.654 0.147 0.108 Ac
0.705 0.705 0.353 Ac
0.853 0.346 0.892 Ac
0.913 0.913 0.611 Ac
0.500 0.500 0.500 Pr
0.242 0.242 0.147 Tl
0.758 0.758 0.853 Tl
```


No. 12
Here is crystalline Sn2BiTe4 at its relaxed geometry from Alexandria via LeMat-Bulk. Energies are from PBE-GGA.

Uncorrected formation energy ... -1.27 eV/f.u.
Offset from the most stable computed form ... 0.0 meV per atom
Total magnetic moment ... 0.00 μB per formula unit

Structure (POSCAR):
```
Sn2BiTe4
1.0
0.000 7.666 4.381
7.472 0.000 4.381
7.472 7.666 0.000
Sn Bi Te
4 2 8
Direct
0.234 0.766 0.260 Sn
0.510 0.990 0.484 Sn
0.766 0.234 0.740 Sn
0.990 0.510 0.016 Sn
0.221 0.221 0.779 Bi
0.471 0.471 0.029 Bi
0.038 0.482 0.285 Te
0.055 0.965 0.768 Te
0.460 0.536 0.711 Te
0.482 0.038 0.195 Te
0.536 0.460 0.293 Te
0.539 0.957 0.790 Te
0.957 0.539 0.714 Te
0.965 0.055 0.212 Te
```


No. 13
Here is crystalline Al2PbAu at its relaxed geometry from Alexandria via LeMat-Bulk. Energies are from PBE-GGA.

Formation energy from the elements ... -0.089 eV per atom
Total magnetic moment ... 0.00 μB per formula unit

Structure (POSCAR):
```
Al2PbAu
1.0
7.417 0.000 0.000
0.000 4.281 0.000
-2.322 0.000 5.735
Al Pb Au
4 2 2
Direct
0.211 0.000 0.140 Al
0.289 0.500 0.860 Al
0.711 0.500 0.140 Al
0.789 0.000 0.860 Al
0.000 0.000 0.500 Pb
0.500 0.500 0.500 Pb
0.000 0.500 0.000 Au
0.500 0.000 0.000 Au
```


No. 14
Here is crystalline Ac3AgPb2 at its relaxed geometry from Alexandria via LeMat-Bulk. Energies are from PBE-GGA.

Formation energy from the elements ... -0.312 eV per atom
Offset from the most stable computed form ... 149.1 meV per atom
Total magnetic moment ... 0.00 μB per formula unit

Structure (POSCAR):
```
Ac3AgPb2
1.0
7.589 -3.428 0.000
7.589 3.428 0.000
-2.919 0.000 8.995
Ac Ag Pb
6 2 4
Direct
0.078 0.922 0.750 Ac
0.328 0.335 0.917 Ac
0.335 0.328 0.417 Ac
0.665 0.672 0.583 Ac
0.672 0.665 0.083 Ac
0.922 0.078 0.250 Ac
0.418 0.582 0.250 Ag
0.582 0.418 0.750 Ag
0.158 0.168 0.583 Pb
0.168 0.158 0.083 Pb
0.832 0.842 0.917 Pb
0.842 0.832 0.417 Pb
```


No. 15
Here is crystalline Sr2HgH at its relaxed geometry from Alexandria via LeMat-Bulk. Energies are from PBE-GGA.

Offset from the most stable computed form ... 377.6 meV per atom
Total magnetic moment ... 0.00 μB per formula unit

Structure (POSCAR):
```
Sr2HgH
1.0
7.742 0.000 0.000
0.000 7.742 0.000
0.000 0.000 7.742
Sr Hg H
8 4 4
Direct
0.250 0.250 0.250 Sr
0.250 0.250 0.750 Sr
0.250 0.750 0.250 Sr
0.250 0.750 0.750 Sr
0.750 0.250 0.250 Sr
0.750 0.250 0.750 Sr
0.750 0.750 0.250 Sr
0.750 0.750 0.750 Sr
0.000 0.000 0.000 Hg
0.000 0.500 0.500 Hg
0.500 0.000 0.500 Hg
0.500 0.500 0.000 Hg
0.000 0.000 0.500 H
0.000 0.500 0.000 H
0.500 0.000 0.000 H
0.500 0.500 0.500 H
```


No. 16
Here is crystalline CaTb2Au2 at its relaxed geometry from Alexandria via LeMat-Bulk. Energies are from PBE-GGA.

Formation energy from the elements ... -0.696 eV per atom
Total magnetic moment ... 0.00 μB per formula unit

Structure (POSCAR):
```
CaTb2Au2
1.0
8.300 0.000 0.000
0.000 8.300 0.000
0.000 0.000 3.809
Ca Tb Au
2 4 4
Direct
0.000 0.000 0.000 Ca
0.500 0.500 0.000 Ca
0.156 0.344 0.500 Tb
0.344 0.844 0.500 Tb
0.656 0.156 0.500 Tb
0.844 0.656 0.500 Tb
0.137 0.637 0.000 Au
0.363 0.137 0.000 Au
0.637 0.863 0.000 Au
0.863 0.363 0.000 Au
```


No. 17
Here is crystalline AgNF2 at its relaxed geometry from Alexandria via LeMat-Bulk. Energies are from PBE-GGA.

Uncorrected formation energy ... 2.66 eV/f.u.
Offset from the most stable computed form ... 1472.1 meV per atom
Total magnetic moment ... 2.00 μB per formula unit

Structure (POSCAR):
```
AgNF2
1.0
5.763 0.000 0.000
0.000 5.763 0.000
0.000 0.000 5.763
Ag N F
4 4 8
Direct
0.000 0.000 0.000 Ag
0.000 0.500 0.500 Ag
0.500 0.000 0.500 Ag
0.500 0.500 0.000 Ag
0.000 0.000 0.500 N
0.000 0.500 0.000 N
0.500 0.000 0.000 N
0.500 0.500 0.500 N
0.250 0.250 0.250 F
0.250 0.250 0.750 F
0.250 0.750 0.250 F
0.250 0.750 0.750 F
0.750 0.250 0.250 F
0.750 0.250 0.750 F
0.750 0.750 0.250 F
0.750 0.750 0.750 F
```


No. 18
Here is crystalline NaCa2AuO at its relaxed geometry from Alexandria via LeMat-Bulk. Energies are from PBE-GGA.

Uncorrected formation energy ... -6.66 eV/f.u.
Total magnetic moment ... 0.00 μB per formula unit

Structure (POSCAR):
```
NaCa2AuO
1.0
4.736 0.000 0.000
0.000 4.736 0.000
0.000 0.000 4.680
Na Ca Au O
1 2 1 1
Direct
0.000 0.000 0.000 Na
0.000 0.500 0.500 Ca
0.500 0.000 0.500 Ca
0.500 0.500 0.000 Au
0.000 0.000 0.500 O
```


No. 19
Here is crystalline Na2LiNdCl6 at its relaxed geometry from Alexandria via LeMat-Bulk. Energies are from PBE-GGA.

Uncorrected formation energy ... -18.45 eV/f.u.
Offset from the most stable computed form ... 132.1 meV per atom
Total magnetic moment ... 0.00 μB per formula unit

Structure (POSCAR):
```
Na2LiNdCl6
1.0
0.000 5.229 5.229
5.229 0.000 5.229
5.229 5.229 0.000
Na Li Nd Cl
2 1 1 6
Direct
0.250 0.250 0.250 Na
0.750 0.750 0.750 Na
0.000 0.000 0.000 Li
0.500 0.500 0.500 Nd
0.241 0.241 0.759 Cl
0.241 0.759 0.241 Cl
0.241 0.759 0.759 Cl
0.759 0.241 0.241 Cl
0.759 0.241 0.759 Cl
0.759 0.759 0.241 Cl
```


No. 20
Here is crystalline Cs3U3AgSe8 at its relaxed geometry from Alexandria via LeMat-Bulk. Energies are from PBE-GGA.

Uncorrected formation energy ... -16.54 eV/f.u.
Total magnetic moment ... 6.00 μB per formula unit

Structure (POSCAR):
```
Cs3U3AgSe8
1.0
7.279 -4.194 0.000
7.279 4.194 0.000
-4.864 0.000 8.469
Cs U Ag Se
3 3 1 8
Direct
0.000 0.000 0.000 Cs
0.000 0.500 0.000 Cs
0.500 0.000 0.000 Cs
0.000 0.500 0.500 U
0.500 0.000 0.500 U
0.500 0.500 0.500 U
0.000 0.000 0.500 Ag
0.236 0.711 0.683 Se
0.237 0.237 0.684 Se
0.271 0.271 0.313 Se
0.289 0.764 0.317 Se
0.711 0.236 0.683 Se
0.729 0.729 0.687 Se
0.763 0.763 0.316 Se
0.764 0.289 0.317 Se
```


No. 21
Here is crystalline Na3LiOs at its relaxed geometry from Alexandria via LeMat-Bulk. Energies are from PBE-GGA.

Formation energy from the elements ... 1.386 eV per atom
Offset from the most stable computed form ... 171.2 meV per atom
Total magnetic moment ... 1.89 μB per formula unit

Structure (POSCAR):
```
Na3LiOs
1.0
4.930 0.000 0.000
0.000 4.930 0.000
0.000 0.000 4.930
Na Li Os
3 1 1
Direct
0.000 0.000 0.500 Na
0.000 0.500 0.000 Na
0.500 0.000 0.000 Na
0.000 0.000 0.000 Li
0.500 0.500 0.500 Os
```


No. 22
Here is crystalline Mn2Sn3Pd7 at its relaxed geometry from Alexandria via LeMat-Bulk. Energies are from PBE-GGA.

Formation energy from the elements ... -0.426 eV per atom
Offset from the most stable computed form ... 0.0 meV per atom
Total magnetic moment ... 8.63 μB per formula unit

Structure (POSCAR):
```
Mn2Sn3Pd7
1.0
-2.241 2.241 9.882
2.241 -2.241 9.882
2.241 2.241 -9.882
Mn Sn Pd
2 3 7
Direct
0.168 0.168 0.000 Mn
0.832 0.832 0.000 Mn
0.000 0.000 0.000 Sn
0.334 0.334 0.000 Sn
0.666 0.666 0.000 Sn
0.087 0.587 0.500 Pd
0.250 0.750 0.500 Pd
0.413 0.913 0.500 Pd
0.500 0.500 0.000 Pd
0.587 0.087 0.500 Pd
0.750 0.250 0.500 Pd
0.913 0.413 0.500 Pd
```


No. 23
Here is crystalline AcY2Ni at its relaxed geometry from Alexandria via LeMat-Bulk. Energies are from PBE-GGA.

Formation energy from the elements ... -0.125 eV per atom
Offset from the most stable computed form ... 37.6 meV per atom
Total magnetic moment ... 0.00 μB per formula unit

Structure (POSCAR):
```
AcY2Ni
1.0
3.547 0.000 0.000
0.000 3.547 0.000
0.000 0.000 9.077
Ac Y Ni
1 2 1
Direct
0.000 0.000 0.000 Ac
0.500 0.500 0.324 Y
0.500 0.500 0.676 Y
0.000 0.000 0.500 Ni
```


No. 24
Here is crystalline TaZnBPd2 at its relaxed geometry from Alexandria via LeMat-Bulk. Energies are from PBE-GGA.

Formation energy from the elements ... 0.080 eV per atom
Total magnetic moment ... 0.00 μB per formula unit

Structure (POSCAR):
```
TaZnBPd2
1.0
4.149 0.000 0.000
0.000 4.149 0.000
0.000 0.000 4.389
Ta Zn B Pd
1 1 1 2
Direct
0.000 0.000 0.000 Ta
0.500 0.500 0.000 Zn
0.000 0.000 0.500 B
0.000 0.500 0.500 Pd
0.500 0.000 0.500 Pd
```